No. 1
Here is crystalline NaSrPa at its relaxed geometry from OQMD. Energies are from PBE-GGA.

Results
Crystal system ... cubic
Calculated total energy ... -2.7275 eV per atom

Cell and atoms, written as CIF:
```
data_NaSrPa
_cell_length_a 7.8434
_cell_length_b 7.8434
_cell_length_c 7.8434
_cell_angle_alpha 90.00
_cell_angle_beta 90.00
_cell_angle_gamma 90.00
_symmetry_space_group_name_H-M 'F -4 3 m'
_symmetry_Int_Tables_number 216
_symmetry_space_group_name_Hall 'F -4 2 3'
loop_
_atom_site_label
_atom_site_type_symbol
_atom_site_fract_x
_atom_site_fract_y
_atom_site_fract_z
Na1 Na 0.0000 0.0000 0.0000
Sr1 Sr 0.2500 0.2500 0.2500
Pa1 Pa 0.2500 0.2500 0.7500
```

=====

No. 2
Here is crystalline BeAlFeHg at its relaxed geometry from OQMD. Energies are from PBE-GGA.

Results
Crystal system ... cubic
Calculated total energy ... -3.7249 eV per atom

Cell and atoms, written as CIF:
```
data_BeAlFeHg
_cell_length_a 6.0301
_cell_length_b 6.0301
_cell_length_c 6.0301
_cell_angle_alpha 90.00
_cell_angle_beta 90.00
_cell_angle_gamma 90.00
_symmetry_space_group_name_H-M 'F -4 3 m'
_symmetry_Int_Tables_number 216
_symmetry_space_group_name_Hall 'F -4 2 3'
loop_
_atom_site_label
_atom_site_type_symbol
_atom_site_fract_x
_atom_site_fract_y
_atom_site_fract_z
Be1 Be 0.0000 0.0000 0.0000
Al1 Al 0.0000 0.0000 0.5000
Fe1 Fe 0.2500 0.2500 0.7500
Hg1 Hg 0.2500 0.2500 0.2500
```

=====

No. 3
Here is crystalline PrDyNO at its relaxed geometry from OQMD. Energies are from PBE-GGA.

Results
Crystal system ... orthorhombic
Calculated total energy ... -7.7318 eV per atom

Cell and atoms, written as CIF:
```
data_PrDyNO
_cell_length_a 4.0692
_cell_length_b 7.0544
_cell_length_c 5.0712
_cell_angle_alpha 90.00
_cell_angle_beta 90.00
_cell_angle_gamma 90.00
_symmetry_space_group_name_H-M 'P m c 21'
_symmetry_Int_Tables_number 26
_symmetry_space_group_name_Hall 'P 2c -2'
loop_
_atom_site_label
_atom_site_type_symbol
_atom_site_fract_x
_atom_site_fract_y
_atom_site_fract_z
Pr1 Pr 0.0000 0.1625 0.0000
Dy1 Dy 0.5000 0.3294 0.5006
N1 N 0.0000 0.1819 0.5014
O1 O 0.5000 0.3514 0.9962
```

=====

No. 4
Here is crystalline Gd2Hf30O63 at its relaxed geometry from OQMD. Energies are from PBE-GGA.

Results
Crystal system ... triclinic
Calculated total energy ... -10.0478 eV per atom

Cell and atoms, written as CIF:
```
data_Gd2Hf30O63
_cell_length_a 10.2483
_cell_length_b 10.4084
_cell_length_c 10.5182
_cell_angle_alpha 89.64
_cell_angle_beta 80.72
_cell_angle_gamma 89.76
_symmetry_space_group_name_H-M 'P 1'
_symmetry_Int_Tables_number 1
_symmetry_space_group_name_Hall 'P 1'
loop_
_atom_site_label
_atom_site_type_symbol
_atom_site_fract_x
_atom_site_fract_y
_atom_site_fract_z
Gd1 Gd 0.0000 0.0000 0.0000
Gd2 Gd 0.4981 0.9991 0.5012
Hf1 Hf 0.2170 0.5340 0.2057
Hf2 Hf 0.2182 0.2466 0.4609
Hf3 Hf 0.2221 0.0362 0.2128
Hf4 Hf 0.2227 0.7460 0.9599
Hf5 Hf 0.2240 0.5401 0.7094
Hf6 Hf 0.2245 0.2506 0.9625
Hf7 Hf 0.2283 0.0498 0.7180
Hf8 Hf 0.2300 0.7335 0.4442
Hf9 Hf 0.4964 0.2861 0.2523
Hf10 Hf 0.4970 0.4961 0.0042
Hf11 Hf 0.4982 0.4945 0.5011
Hf12 Hf 0.4983 0.7886 0.7540
Hf13 Hf 0.4976 0.9969 0.0044
Hf14 Hf 0.5002 0.7869 0.2525
Hf15 Hf 0.5039 0.2912 0.7530
Hf16 Hf 0.7140 0.7444 0.9638
Hf17 Hf 0.7176 0.5379 0.7092
Hf18 Hf 0.7187 0.2464 0.9620
Hf19 Hf 0.7201 0.2503 0.4576
Hf20 Hf 0.7198 0.7472 0.4609
Hf21 Hf 0.7223 0.0369 0.7129
Hf22 Hf 0.7220 0.0385 0.2118
Hf23 Hf 0.7218 0.5372 0.2105
Hf24 Hf 0.9849 0.7785 0.7661
Hf25 Hf 0.9865 0.0043 0.4969
Hf26 Hf 0.9941 0.4949 0.5014
Hf27 Hf 0.9954 0.4961 0.0010
Hf28 Hf 0.9958 0.7874 0.2544
Hf29 Hf 0.9979 0.2891 0.7530
Hf30 Hf 0.9993 0.2878 0.2510
O1 O 0.0748 0.1451 0.6170
O2 O 0.0799 0.6457 0.1129
O3 O 0.0815 0.1388 0.3654
O4 O 0.0820 0.6320 0.3618
O5 O 0.0825 0.6362 0.8648
O6 O 0.0928 0.1540 0.1198
O7 O 0.0931 0.6737 0.6123
O8 O 0.0948 0.1513 0.8609
O9 O 0.1333 0.3909 0.5964
O10 O 0.1353 0.3909 0.0944
O11 O 0.1354 0.3940 0.3457
O12 O 0.1366 0.8957 0.3648
O13 O 0.1376 0.4000 0.8457
O14 O 0.1381 0.8914 0.8256
O15 O 0.1448 0.8815 0.1058
O16 O 0.2991 0.0864 0.5291
O17 O 0.3202 0.5848 0.5207
O18 O 0.3211 0.5950 0.0232
O19 O 0.3220 0.0947 0.0252
O20 O 0.3227 0.1849 0.2790
O21 O 0.3244 0.6807 0.2681
O22 O 0.3252 0.6850 0.7757
O23 O 0.3322 0.1904 0.7763
O24 O 0.3916 0.9365 0.6999
O25 O 0.3927 0.4353 0.1875
O26 O 0.3933 0.8323 0.4362
O27 O 0.3972 0.4383 0.6892
O28 O 0.3975 0.8438 0.9420
O29 O 0.3967 0.9375 0.1918
O30 O 0.3978 0.3385 0.4427
O31 O 0.4000 0.3467 0.9389
O32 O 0.5741 0.1466 0.1164
O33 O 0.5790 0.6364 0.8669
O34 O 0.5797 0.6454 0.6146
O35 O 0.5810 0.6445 0.1173
O36 O 0.5836 0.6358 0.3655
O37 O 0.5851 0.1372 0.8660
O38 O 0.5923 0.1463 0.3585
O39 O 0.5939 0.1533 0.6212
O40 O 0.6341 0.8866 0.0982
O41 O 0.6347 0.3870 0.0979
O42 O 0.6352 0.3973 0.3467
O43 O 0.6373 0.3909 0.5954
O44 O 0.6370 0.8974 0.8498
O45 O 0.6378 0.3974 0.8464
O46 O 0.6401 0.8897 0.3422
O47 O 0.6456 0.8823 0.6053
O48 O 0.8095 0.0984 0.0304
O49 O 0.8132 0.6872 0.7748
O50 O 0.8170 0.0933 0.5207
O51 O 0.8185 0.5922 0.0236
O52 O 0.8225 0.5970 0.5254
O53 O 0.8247 0.6843 0.2748
O54 O 0.8260 0.1839 0.7759
O55 O 0.8283 0.1871 0.2759
O56 O 0.8896 0.8337 0.9420
O57 O 0.8942 0.9378 0.2004
O58 O 0.8962 0.3448 0.9376
O59 O 0.8963 0.3475 0.4390
O60 O 0.8959 0.4366 0.1870
O61 O 0.8957 0.8442 0.4398
O62 O 0.8970 0.4428 0.6888
O63 O 0.9185 0.9367 0.6804
```

=====

No. 5
Here is crystalline DyTlAsSe3 at its relaxed geometry from OQMD. Energies are from PBE-GGA.

Results
Crystal system ... orthorhombic
Calculated total energy ... -4.3960 eV per atom

Cell and atoms, written as CIF:
```
data_DyTlAsSe3
_cell_length_a 4.1599
_cell_length_b 15.0836
_cell_length_c 10.6585
_cell_angle_alpha 90.00
_cell_angle_beta 90.00
_cell_angle_gamma 90.00
_symmetry_space_group_name_H-M 'C m c m'
_symmetry_Int_Tables_number 63
_symmetry_space_group_name_Hall '-C 2c 2'
loop_
_atom_site_label
_atom_site_type_symbol
_atom_site_fract_x
_atom_site_fract_y
_atom_site_fract_z
Dy1 Dy 0.0000 0.0000 0.0000
Tl1 Tl 0.0000 0.2585 0.2500
As1 As 0.0000 0.4456 0.7500
Se1 Se 0.0000 0.0874 0.7500
Se2 Se 0.0000 0.3673 0.5401
```

=====

No. 6
Here is crystalline HfTlW2 at its relaxed geometry from OQMD. Energies are from PBE-GGA.

Results
Crystal system ... cubic
Calculated total energy ... -8.9906 eV per atom

Cell and atoms, written as CIF:
```
data_HfTlW2
_cell_length_a 6.6744
_cell_length_b 6.6744
_cell_length_c 6.6744
_cell_angle_alpha 90.00
_cell_angle_beta 90.00
_cell_angle_gamma 90.00
_symmetry_space_group_name_H-M 'F -4 3 m'
_symmetry_Int_Tables_number 216
_symmetry_space_group_name_Hall 'F -4 2 3'
loop_
_atom_site_label
_atom_site_type_symbol
_atom_site_fract_x
_atom_site_fract_y
_atom_site_fract_z
Hf1 Hf 0.0000 0.0000 0.0000
Tl1 Tl 0.2500 0.2500 0.7500
W1 W 0.0000 0.0000 0.5000
W2 W 0.2500 0.2500 0.2500
```

=====

No. 7
Here is crystalline NaHoZnSe3 at its relaxed geometry from OQMD. Energies are from PBE-GGA.

Results
Crystal system ... monoclinic
Calculated total energy ... -4.1470 eV per atom

Cell and atoms, written as CIF:
```
data_NaHoZnSe3
_cell_length_a 18.9391
_cell_length_b 4.0400
_cell_length_c 8.1480
_cell_angle_alpha 90.00
_cell_angle_beta 103.20
_cell_angle_gamma 90.00
_symmetry_space_group_name_H-M 'C 1 2/m 1'
_symmetry_Int_Tables_number 12
_symmetry_space_group_name_Hall '-C 2y'
loop_
_atom_site_label
_atom_site_type_symbol
_atom_site_fract_x
_atom_site_fract_y
_atom_site_fract_z
Na1 Na 0.1220 0.0000 0.0721
Ho1 Ho 0.1737 0.0000 0.5825
Zn1 Zn 0.0352 0.5000 0.7280
Se1 Se 0.0000 0.0000 0.5000
Se2 Se 0.0000 0.5000 0.0000
Se3 Se 0.1665 0.5000 0.8216
Se4 Se 0.1748 0.5000 0.3433
```

=====

No. 8
Here is crystalline ThGe12Pt4 at its relaxed geometry from OQMD. Energies are from PBE-GGA.

Results
Crystal system ... cubic
Calculated total energy ... -5.5162 eV per atom

Cell and atoms, written as CIF:
```
data_ThGe12Pt4
_cell_length_a 8.6926
_cell_length_b 8.6926
_cell_length_c 8.6926
_cell_angle_alpha 90.00
_cell_angle_beta 90.00
_cell_angle_gamma 90.00
_symmetry_space_group_name_H-M 'I m -3'
_symmetry_Int_Tables_number 204
_symmetry_space_group_name_Hall '-I 2 2 3'
loop_
_atom_site_label
_atom_site_type_symbol
_atom_site_fract_x
_atom_site_fract_y
_atom_site_fract_z
Th1 Th 0.0000 0.0000 0.0000
Ge1 Ge 0.0000 0.1505 0.3541
Pt1 Pt 0.2500 0.2500 0.2500
```